[1]
First-principles (GGA-PBE) data for a geometry-optimized Na3ScTi2Te6 structure, as listed in the Alexandria database.

The space group is C2/m (No. 12) and the conventional cell measures 7.087, 12.339 and 7.980 Å, with angles of 90.00, 107.38 and 90.00 degrees. Symmetry generates all atoms from Na at (0.000, 0.000, 0.000), Na at (0.000, 0.340, 0.000), Sc at (0.000, 0.500, 0.500), Ti at (0.000, 0.173, 0.500), Te at (0.226, 0.000, 0.710) and Te at (0.244, 0.330, 0.718).

The value obtained for the mass density is 4.86 g/cm³. The calculation puts the uncorrected formation energy at -0.907 eV/atom.

---

[2]
First-principles (GGA-PBE) data for a geometry-optimized MgTePd structure, as listed in the Alexandria database.

The space group is P6_3/mmc (No. 194) and the conventional cell measures 4.7805, 4.7805 and 10.1659 Å, with angles of 90.00, 90.00 and 120.00 degrees. Symmetry generates all atoms from Mg at (0.3333, 0.6667, 0.2500), Te at (0.0000, 0.0000, 0.2500) and Pd at (0.0000, 0.0000, 0.0000).

The value obtained for the mass density is 4.26 g/cm³. The calculation puts the uncorrected formation energy at -0.126 eV/atom.